## BeWN2 (PBE)

Data for a relaxed structure of BeWN2.

Unit cell a=5.8228 b=5.8228 c=5.8228 alpha=29.63 beta=29.63 gamma=29.63
Fractional positions:
Be: 0.0000 0.0000 0.0000
W: 0.5000 0.5000 0.5000
N: 0.0919 0.0919 0.0919
N: 0.9081 0.9081 0.9081

Calculated values
energy relative to the elements, uncorrected: -287 meV per atom

## V4CoRh2 (PBE)

Data for a relaxed structure of V4CoRh2.

Unit cell a=6.8395 b=6.8395 c=6.8395 alpha=143.91 beta=143.91 gamma=51.97
Fractional positions:
V: 0.0000 0.5000 0.5000
V: 0.1870 0.1870 0.0000
V: 0.5000 0.0000 0.5000
V: 0.8130 0.8130 0.0000
Co: 0.0000 0.0000 0.0000
Rh: 0.3749 0.3749 0.0000
Rh: 0.6251 0.6251 0.0000

Calculated values
formation enthalpy at 0 K: 0.508 eV/atom

## CdAsAu2 (PBE)

Data for a relaxed structure of CdAsAu2.

Unit cell a=5.2921 b=5.2921 c=5.2921 alpha=133.65 beta=133.46 gamma=67.79
Fractional positions:
Cd: 0.0000 0.0000 0.0000
As: 0.5000 0.5000 0.0000
Au: 0.2505 0.7505 0.5000
Au: 0.7495 0.2495 0.5000

Calculated values
formation enthalpy at 0 K: 0.060 eV/atom
relative energy among the computed polymorphs: 0.0518 eV per atom

Number 1: M_tot 0.000 μB per atom. Number 2: M_tot 0.240 μB per atom. Number 3: M_tot 0.000 μB per atom.